A geometry-optimized UCo2 structure, computed with PBE.

Properties
- Energy relative to the elements: 0.086 eV per atom
- E_tot: -8.414 eV/atom

a b c (Å): 5.6334 5.6334 5.6334
angles (deg): 150.50 150.50 42.20
Last column: nearest neighbours and their distance in Å.
Sites, in units of the cell vectors:
U: 0.0000 0.0000 0.0000  8 Co 2.79, 4 U 2.87
Co: 0.3182 0.3182 0.0000  4 Co 2.48
Co: 0.6818 0.6818 0.0000  4 Co 2.48